Entry 1:
The following is a PBE-GGA calculation of a relaxed Sc2Al3Fe crystal, from Alexandria.

Output
DFT formation energy (eV/atom): -0.45
Space-group type: R-3m, No. 166
Mass density (kg/m³): 3693

a b c (Å): 5.1833 5.1833 5.1833
angles (deg): 61.57 61.57 61.57
Fractional coordinates of all 6 atoms:
Sc  0.1271  0.1271  0.1271
Sc  0.8729  0.8729  0.8729
Al  0.0000  0.5000  0.5000
Al  0.5000  0.0000  0.5000
Al  0.5000  0.5000  0.0000
Fe  0.5000  0.5000  0.5000


Entry 2:
The following is a PBE-GGA calculation of a relaxed AgIr2Au crystal, from Alexandria.

Output
Polymorph energy (0 for the lowest one) (kJ/mol of formula units): 38.1
DFT formation energy (eV/atom): 0.28
Space-group type: Pmm2, No. 25
Mass density (kg/m³): 17321

a b c (Å): 2.8088 3.8122 6.1713
angles (deg): 90.00 90.00 90.00
Fractional coordinates of all 4 atoms:
Ag  0.0000  0.0000  0.0000
Ir  0.0000  0.0000  0.5392
Ir  0.5000  0.5000  0.7159
Au  0.5000  0.5000  0.2547


Entry 3:
The following is a PBE-GGA calculation of a relaxed Hf4SnSe crystal, from Alexandria.

Output
Formation energy from raw total energies (eV per atom): -0.235
Space-group type: P-1, No. 2
Mass density (kg/m³): 11271

a b c (Å): 5.7086 6.7115 7.7762
angles (deg): 75.63 68.91 88.48
Fractional coordinates of all 12 atoms:
Hf  0.0207  0.0693  0.1558
Hf  0.1721  0.4560  0.8312
Hf  0.2128  0.3652  0.3542
Hf  0.4548  0.8860  0.3467
Hf  0.5452  0.1140  0.6533
Hf  0.7872  0.6348  0.6458
Hf  0.8279  0.5440  0.1688
Hf  0.9793  0.9307  0.8442
Sn  0.3853  0.7466  0.0084
Sn  0.6147  0.2534  0.9916
Se  0.0000  0.0000  0.5000
Se  0.5000  0.5000  0.5000


Entry 4:
The following is a PBE-GGA calculation of a relaxed Mg2BO crystal, from Alexandria.

Output
Polymorph energy (0 for the lowest one) (kJ/mol of formula units): 0.0
Formation energy from raw total energies (eV per atom): -0.573
Space-group type: I-42d, No. 122
Mass density (kg/m³): 2191

a b c (Å): 5.6030 5.6030 7.2822
angles (deg): 90.00 90.00 90.00
Fractional coordinates of all 16 atoms:
Mg  0.1885  0.2500  0.1250
Mg  0.2500  0.6885  0.3750
Mg  0.2500  0.8115  0.8750
Mg  0.3115  0.2500  0.6250
Mg  0.6885  0.7500  0.6250
Mg  0.7500  0.1885  0.8750
Mg  0.7500  0.3115  0.3750
Mg  0.8115  0.7500  0.1250
B  0.0000  0.0000  0.5000
B  0.0000  0.5000  0.7500
B  0.5000  0.0000  0.2500
B  0.5000  0.5000  0.0000
O  0.0000  0.0000  0.0000
O  0.0000  0.5000  0.2500
O  0.5000  0.0000  0.7500
O  0.5000  0.5000  0.5000


Entry 5:
The following is a PBE-GGA calculation of a relaxed CaMgPd crystal, from Alexandria.

Output
DFT formation energy (eV/atom): -0.46
Space-group type: P3m1, No. 156
Mass density (kg/m³): 3955

a b c (Å): 4.5592 4.5592 3.9842
angles (deg): 90.00 90.00 120.00
Fractional coordinates of all 3 atoms:
Ca  0.0000  0.0000  0.0000
Mg  0.3333  0.6667  0.4983
Pd  0.6667  0.3333  0.5014


Entry 6:
The following is a PBE-GGA calculation of a relaxed Li5PrHg6 crystal, from Alexandria.

Output
DFT formation energy (eV/atom): -0.37
Space-group type: Cmmm, No. 65
Mass density (kg/m³): 9106

a b c (Å): 7.6737 7.6737 7.0643
angles (deg): 90.00 90.00 142.80
Fractional coordinates of all 12 atoms:
Li  0.0000  0.0000  0.0000
Li  0.3253  0.6747  0.5000
Li  0.3410  0.6590  0.0000
Li  0.6590  0.3410  0.0000
Li  0.6747  0.3253  0.5000
Pr  0.0000  0.0000  0.5000
Hg  0.1749  0.8251  0.2275
Hg  0.1749  0.8251  0.7725
Hg  0.5000  0.5000  0.2206
Hg  0.5000  0.5000  0.7794
Hg  0.8251  0.1749  0.2275
Hg  0.8251  0.1749  0.7725